# Ba3Ca2Hg3

A relaxed Ba3Ca2Hg3 crystal (GGA-PBE, Alexandria).

Computed properties:
Crystal system = orthorhombic
Space-group type = Cmcm
ΔE_f = -0.3845 eV per atom

abc: 4.642 8.306 17.118
angles: 90.00 90.00 106.23
Positions (direct):
Ba1 0.354 0.707 0.750
Ba2 0.054 0.108 0.618
Ba3 0.946 0.892 0.118
Ba4 0.646 0.293 0.250
Ba5 0.054 0.108 0.882
Ba6 0.946 0.892 0.382
Ca1 0.233 0.466 0.082
Ca2 0.767 0.534 0.918
Ca3 0.233 0.466 0.418
Ca4 0.767 0.534 0.582
Hg1 0.333 0.666 0.250
Hg2 0.398 0.795 0.962
Hg3 0.667 0.334 0.750
Hg4 0.602 0.205 0.462
Hg5 0.602 0.205 0.038
Hg6 0.398 0.795 0.538

***

# InCu2Pb2

A relaxed InCu2Pb2 crystal (GGA-PBE, Alexandria).

Computed properties:
Crystal system = tetragonal
Space-group type = I4/mmm
ΔE to the lowest computed polymorph = 18.2 meV per atom
ΔE_f = 0.1707 eV per atom

abc: 3.531 3.531 9.715
angles: 79.53 79.53 90.00
Positions (direct):
Cu1 0.250 0.750 0.500
Cu2 0.750 0.250 0.500
Pb1 0.372 0.372 0.256
Pb2 0.628 0.628 0.744
In1 0.000 0.000 0.000

***

# Nb3NiH3

A relaxed Nb3NiH3 crystal (GGA-PBE, Alexandria).

Computed properties:
Crystal system = cubic
Space-group type = Pm-3n
DFT total energy = -93.237 eV for the cell shown

abc: 5.362 5.362 5.362
angles: 90.00 90.00 90.00
Positions (direct):
Nb1 0.000 0.750 0.500
Nb2 0.500 0.000 0.750
Nb3 0.500 0.000 0.250
Nb4 0.000 0.250 0.500
Nb5 0.250 0.500 0.000
Nb6 0.750 0.500 0.000
H1 0.250 0.000 0.500
H2 0.750 0.000 0.500
H3 0.500 0.750 0.000
H4 0.500 0.250 0.000
H5 0.000 0.500 0.750
H6 0.000 0.500 0.250
Ni1 0.500 0.500 0.500
Ni2 0.000 0.000 0.000

***

# Ac3Ir2Au

A relaxed Ac3Ir2Au crystal (GGA-PBE, Alexandria).

Computed properties:
Crystal system = tetragonal
Space-group type = P4/mmm
ΔE_f = -0.5783 eV per atom

abc: 3.759 3.759 11.496
angles: 90.00 90.00 90.00
Positions (direct):
Ac1 0.000 0.000 0.685
Ac2 0.000 0.000 0.000
Ac3 0.000 0.000 0.315
Au1 0.500 0.500 0.500
Ir1 0.500 0.500 0.165
Ir2 0.500 0.500 0.835

***

# Al2Pd2Ru

A relaxed Al2Pd2Ru crystal (GGA-PBE, Alexandria).

Computed properties:
Crystal system = tetragonal
Space-group type = P4/mbm
ΔE to the lowest computed polymorph = 247.6 meV per atom
ΔE_f = -0.4274 eV per atom

abc: 7.370 7.370 2.736
angles: 90.00 90.00 90.00
Positions (direct):
Pd1 0.131 0.369 0.000
Pd2 0.369 0.869 0.000
Pd3 0.631 0.131 0.000
Pd4 0.869 0.631 0.000
Al1 0.669 0.831 0.500
Al2 0.831 0.331 0.500
Al3 0.331 0.169 0.500
Al4 0.169 0.669 0.500
Ru1 0.500 0.500 0.000
Ru2 0.000 0.000 0.000

***

# Sm12Dy3Ho

A relaxed Sm12Dy3Ho crystal (GGA-PBE, Alexandria).

Computed properties:
Crystal system = tetragonal
Space-group type = P4/mmm
ΔE_f = 0.0161 eV per atom

abc: 5.099 5.099 20.361
angles: 90.00 90.00 90.00
Positions (direct):
Sm1 0.000 0.500 0.625
Sm2 0.000 0.500 0.125
Sm3 0.500 0.500 0.500
Sm4 0.500 0.500 0.000
Sm5 0.500 0.000 0.875
Sm6 0.500 0.500 0.250
Sm7 0.500 0.500 0.750
Sm8 0.500 0.000 0.125
Sm9 0.000 0.500 0.875
Sm10 0.500 0.000 0.375
Sm11 0.500 0.000 0.625
Sm12 0.000 0.500 0.375
Dy1 0.000 0.000 0.250
Dy2 0.000 0.000 0.500
Dy3 0.000 0.000 0.750
Ho1 0.000 0.000 0.000

***

# EuGdMgIn

A relaxed EuGdMgIn crystal (GGA-PBE, Alexandria).

Computed properties:
Crystal system = cubic
Space-group type = F-43m
ΔE_f = -0.3052 eV per atom

abc: 5.468 5.468 5.468
angles: 60.00 60.00 60.00
Positions (direct):
Mg1 0.000 0.000 0.000
In1 0.500 0.500 0.500
Eu1 0.250 0.250 0.250
Gd1 0.750 0.750 0.750

***

# V3NiRh4

A relaxed V3NiRh4 crystal (GGA-PBE, Alexandria).

Computed properties:
Crystal system = orthorhombic
Space-group type = Pmma
ΔE to the lowest computed polymorph = 0.0 meV per atom
ΔE_f = -0.3399 eV per atom

abc: 4.589 5.466 8.571
angles: 90.00 90.00 90.00
Positions (direct):
Rh1 0.859 0.256 0.250
Rh2 0.500 0.251 0.500
Rh3 0.141 0.256 0.750
Rh4 0.859 0.744 0.250
Rh5 0.500 0.749 0.500
Rh6 0.500 0.749 0.000
Rh7 0.500 0.251 0.000
Rh8 0.141 0.744 0.750
Ni1 0.000 0.500 0.000
Ni2 0.000 0.500 0.500
V1 0.000 0.000 0.500
V2 0.355 0.000 0.250
V3 0.645 0.000 0.750
V4 0.000 0.000 0.000
V5 0.331 0.500 0.250
V6 0.669 0.500 0.750

***

# KZrMo2

A relaxed KZrMo2 crystal (GGA-PBE, Alexandria).

Computed properties:
Crystal system = monoclinic
Space-group type = C2/m
ΔE to the lowest computed polymorph = 611.7 meV per atom
ΔE_f = 1.1658 eV per atom

abc: 5.976 6.009 2.694
angles: 69.44 87.20 115.06
Positions (direct):
K1 0.500 0.000 0.500
Mo1 0.000 0.000 0.000
Mo2 0.000 0.500 0.500
Zr1 0.500 0.500 0.000

***

# Rb3Er3TaSe8

A relaxed Rb3Er3TaSe8 crystal (GGA-PBE, Alexandria).

Computed properties:
Crystal system = trigonal
Space-group type = R-3m
Formation energy from raw total energies = -1490.4 meV/atom

abc: 8.130 8.130 9.439
angles: 115.52 90.00 120.00
Positions (direct):
Rb1 0.000 0.500 0.000
Rb2 0.000 0.000 0.000
Rb3 0.500 0.500 0.000
Er1 0.500 0.000 0.500
Er2 0.500 0.500 0.500
Er3 0.000 0.500 0.500
Se1 0.732 0.464 0.695
Se2 0.749 0.967 0.686
Se3 0.268 0.536 0.305
Se4 0.251 0.033 0.314
Se5 0.782 0.563 0.314
Se6 0.218 0.437 0.686
Se7 0.218 0.967 0.686
Se8 0.782 0.033 0.314
Ta1 0.000 0.000 0.500

***

# InSn6Se8

A relaxed InSn6Se8 crystal (GGA-PBE, Alexandria).

Computed properties:
Crystal system = trigonal
Space-group type = R-3
Formation energy from raw total energies = -347.0 meV/atom

abc: 7.864 7.864 7.864
angles: 77.70 77.70 77.70
Positions (direct):
Sn1 0.870 0.621 0.363
Sn2 0.621 0.363 0.870
Sn3 0.130 0.379 0.637
Sn4 0.637 0.130 0.379
Sn5 0.379 0.637 0.130
Sn6 0.363 0.870 0.621
Se1 0.307 0.307 0.307
Se2 0.114 0.841 0.325
Se3 0.886 0.159 0.675
Se4 0.159 0.675 0.886
Se5 0.841 0.325 0.114
Se6 0.325 0.114 0.841
Se7 0.675 0.886 0.159
Se8 0.693 0.693 0.693
In1 0.000 0.000 0.000

***

# CaIr2Pt

A relaxed CaIr2Pt crystal (GGA-PBE, Alexandria).

Computed properties:
Crystal system = tetragonal
Space-group type = I-42d
ΔE to the lowest computed polymorph = 229.2 meV per atom
ΔE_f = 0.1013 eV per atom

abc: 4.393 4.393 9.747
angles: 76.97 76.97 90.00
Positions (direct):
Ir1 0.765 0.125 0.250
Ir2 0.375 0.235 0.750
Ir3 0.875 0.015 0.750
Ir4 0.985 0.625 0.250
Pt1 0.750 0.250 0.500
Pt2 0.000 0.000 0.000
Ca1 0.250 0.750 0.500
Ca2 0.500 0.500 0.000